# 1
Computed, not measured: PmLuMg2 after structural relaxation at the GGA-PBE level of DFT.

The calculation puts the uncorrected energy at -12.8 eV for the cell shown. The density of states at the Fermi level is 4.3 states/eV/cell. The spin magnetization is 0.00 μB/f.u. Its space group is Fm-3m.

Cell: 5.368 5.368 5.368 Å, 60.00 60.00 60.00°
Fractional positions:
1 Mg 0.750 0.750 0.750
2 Mg 0.250 0.250 0.250
3 Pm 0.000 0.000 0.000
4 Lu 0.500 0.500 0.500



# 2
Computed, not measured: Ta3AsIr after structural relaxation at the GGA-PBE level of DFT.

The calculation puts the uncorrected energy at -44.2 eV for the cell shown. The density of states at the Fermi level is 3.8 states/eV/cell. The spin magnetization is 0.00 μB/f.u. Its space group is Pm-3m.

Cell: 4.639 4.639 4.639 Å, 90.00 90.00 90.00°
Fractional positions:
1 As 0.000 0.000 0.000
2 Ta 0.000 0.000 0.500
3 Ta 0.000 0.500 0.000
4 Ta 0.500 0.000 0.000
5 Ir 0.500 0.500 0.500



# 3
Computed, not measured: RbSbOF2 after structural relaxation at the GGA-PBE level of DFT.

The calculation puts the uncorrected energy at -23.8 eV for the cell shown. The density of states at the Fermi level is 0.0 states/eV/cell. The uncorrected formation energy is -193 kJ per mole of atoms. The spin magnetization is 0.00 μB/f.u. Its space group is P4/mmm.

Cell: 4.688 4.688 4.280 Å, 90.00 90.00 90.00°
Fractional positions:
1 F 0.500 0.000 0.000
2 F 0.000 0.500 0.000
3 O 0.000 0.000 0.500
4 Sb 0.000 0.000 0.000
5 Rb 0.500 0.500 0.500



# 4
Computed, not measured: MgNbZnRu after structural relaxation at the GGA-PBE level of DFT.

The calculation puts the uncorrected energy at -22.6 eV for the cell shown. The density of states at the Fermi level is 5.3 states/eV/cell. The spin magnetization is 0.00 μB/f.u. Its space group is F-43m.

Cell: 4.485 4.485 4.485 Å, 60.00 60.00 60.00°
Fractional positions:
1 Nb 0.500 0.500 0.500
2 Mg 0.000 0.000 0.000
3 Ru 0.750 0.750 0.750
4 Zn 0.250 0.250 0.250



# 5
Computed, not measured: Y2HoSnN4 after structural relaxation at the GGA-PBE level of DFT.

The calculation puts the uncorrected energy at -63.4 eV for the cell shown. The density of states at the Fermi level is 4.6 states/eV/cell. The uncorrected formation energy is -104 kJ per mole of atoms. The spin magnetization is 0.00 μB/f.u. Its space group is P2/m.

Cell: 3.467 6.009 5.998 Å, 109.62 90.00 90.00°
Fractional positions:
1 Sn 0.000 0.000 0.000
2 N 0.500 0.744 0.746
3 N 0.000 0.256 0.748
4 N 0.500 0.256 0.254
5 N 0.000 0.744 0.252
6 Y 0.000 0.500 0.500
7 Y 0.500 0.000 0.500
8 Ho 0.500 0.500 0.000



# 6
Computed, not measured: ZrNb2As3 after structural relaxation at the GGA-PBE level of DFT.

The calculation puts the uncorrected energy at -94.0 eV for the cell shown. The density of states at the Fermi level is 9.9 states/eV/cell. The spin magnetization is 0.00 μB/f.u. Its space group is Pmc2_1.

Cell: 3.547 6.330 10.182 Å, 90.00 90.00 90.00°
Fractional positions:
1 Nb 0.000 0.498 0.776
2 Nb 0.500 0.511 0.537
3 Nb 0.000 0.998 0.224
4 Nb 0.500 0.011 0.463
5 As 0.500 0.203 0.711
6 As 0.500 0.175 0.065
7 As 0.000 0.307 0.385
8 As 0.500 0.703 0.289
9 As 0.000 0.807 0.615
10 As 0.500 0.675 0.935
11 Zr 0.000 0.007 0.886
12 Zr 0.000 0.507 0.114



# 7
Computed, not measured: Pr4Si2Cl5 after structural relaxation at the GGA-PBE level of DFT.

The calculation puts the uncorrected energy at -55.2 eV for the cell shown. The density of states at the Fermi level is 2.3 states/eV/cell. The uncorrected formation energy is -141 kJ per mole of atoms. The spin magnetization is 0.00 μB/f.u. Its space group is Immm.

Cell: 4.239 7.883 10.836 Å, 111.33 101.28 90.00°
Fractional positions:
1 Cl 0.182 0.939 0.364
2 Cl 0.818 0.576 0.636
3 Cl 0.182 0.424 0.364
4 Cl 0.500 0.000 0.000
5 Cl 0.818 0.061 0.636
6 Pr 0.305 0.305 0.611
7 Pr 0.695 0.695 0.389
8 Pr 0.000 0.270 0.000
9 Pr 0.000 0.730 0.000
10 Si 0.557 0.557 0.114
11 Si 0.443 0.443 0.886



# 8
Computed, not measured: ScGa2Bi after structural relaxation at the GGA-PBE level of DFT.

The calculation puts the uncorrected energy at -33.4 eV for the cell shown. The density of states at the Fermi level is 4.4 states/eV/cell. The spin magnetization is 0.00 μB/f.u. Its space group is I-42d.

Cell: 7.996 7.996 6.387 Å, 51.25 51.25 90.00°
Fractional positions:
1 Sc 0.250 0.750 0.500
2 Sc 0.500 0.500 0.000
3 Ga 0.128 0.625 0.250
4 Ga 0.375 0.378 0.750
5 Ga 0.875 0.872 0.750
6 Ga 0.622 0.125 0.250
7 Bi 0.750 0.250 0.500
8 Bi 0.000 0.000 0.000



# 9
Computed, not measured: PuNi4Sb4 after structural relaxation at the GGA-PBE level of DFT.

The calculation puts the uncorrected energy at -111.5 eV for the cell shown. The density of states at the Fermi level is 31.8 states/eV/cell. The uncorrected formation energy is -19 kJ per mole of atoms. The spin magnetization is 5.79 μB/f.u. Its space group is P4_2/nmc.

Cell: 6.520 6.520 8.225 Å, 90.00 90.00 90.02°
Site moments in Bohr magnetons follow the coordinates.
Fractional positions:
1 Sb 0.747 0.000 0.340  0.01
2 Sb 0.000 0.747 0.660  0.01
3 Sb 0.253 0.000 0.340  0.01
4 Sb 0.500 0.753 0.840  0.01
5 Sb 0.753 0.500 0.160  0.01
6 Sb 0.500 0.247 0.840  0.01
7 Sb 0.000 0.253 0.660  0.01
8 Sb 0.247 0.500 0.160  0.01
9 Ni 0.808 0.500 0.857  -0.02
10 Ni 0.692 0.000 0.643  -0.02
11 Ni 0.308 0.000 0.643  -0.02
12 Ni 0.000 0.692 0.357  -0.02
13 Ni 0.000 0.308 0.357  -0.02
14 Ni 0.500 0.808 0.143  -0.02
15 Ni 0.500 0.192 0.143  -0.02
16 Ni 0.192 0.500 0.857  -0.02
17 Pu 0.000 0.000 0.000  -5.47
18 Pu 0.500 0.500 0.500  -5.47



# 10
Computed, not measured: BaTl2MoPb after structural relaxation at the GGA-PBE level of DFT.

The calculation puts the uncorrected energy at -17.4 eV for the cell shown. The density of states at the Fermi level is 3.3 states/eV/cell. The spin magnetization is 3.66 μB/f.u. Its space group is P4/mmm.

Cell: 5.966 5.479 5.966 Å, 90.00 90.00 90.00°
Site moments in Bohr magnetons follow the coordinates.
Fractional positions:
1 Pb 0.000 0.000 0.000  -0.04
2 Tl 0.000 0.000 0.500  -0.02
3 Tl 0.500 0.000 0.000  0.00
4 Mo 0.000 0.500 0.000  3.00
5 Ba 0.500 0.500 0.500  0.01



# 11
Computed, not measured: Si3IF after structural relaxation at the GGA-PBE level of DFT.

The calculation puts the uncorrected energy at -12.5 eV for the cell shown. The density of states at the Fermi level is 5.3 states/eV/cell. The uncorrected formation energy is 138 kJ per mole of atoms. The spin magnetization is 0.00 μB/f.u. Its space group is Pm-3m.

Cell: 5.406 5.406 5.406 Å, 90.00 90.00 90.00°
Fractional positions:
1 Si 0.000 0.500 0.000
2 Si 0.500 0.000 0.000
3 Si 0.000 0.000 0.500
4 F 0.500 0.500 0.500
5 I 0.000 0.000 0.000



# 12
Computed, not measured: AcTcNiGe2 after structural relaxation at the GGA-PBE level of DFT.

The calculation puts the uncorrected energy at -32.0 eV for the cell shown. The density of states at the Fermi level is 3.8 states/eV/cell. The spin magnetization is 0.00 μB/f.u. Its space group is I-4m2.

Cell: 4.231 4.231 6.267 Å, 109.73 109.73 90.00°
Fractional positions:
1 Ge 0.637 0.637 0.273
2 Ge 0.363 0.363 0.727
3 Ni 0.750 0.250 0.500
4 Ac 0.000 0.000 0.000
5 Tc 0.250 0.750 0.500